VASP calculation (GGA-PBEsol) on a relaxed K2MgAu crystal.

Unit cell a=6.1192 b=6.1192 c=6.1192 alpha=131.50 beta=131.50 gamma=71.02
Positions (direct):
K 0.2500 0.7500 0.5000
K 0.7500 0.2500 0.5000
Mg 0.0000 0.0000 0.0000
Au 0.5000 0.5000 0.0000

Computed properties:
For the theoretical density, the calculation gives 3.951 Mg/m³. For the formation energy, the calculation gives 0.1070 eV per atom.

***

VASP calculation (GGA-PBEsol) on a relaxed KMnAu2 crystal.

Unit cell a=2.9067 b=4.1196 c=7.3267 alpha=90.00 beta=90.00 gamma=90.00
Positions (direct):
K 0.0000 0.0000 0.0000
Mn 0.5000 0.5000 0.3583
Au 0.0000 0.0000 0.4824
Au 0.5000 0.5000 0.7109

Computed properties:
For the theoretical density, the calculation gives 9.236 Mg/m³. For the formation energy, the calculation gives 0.2814 eV per atom.

***

VASP calculation (GGA-PBEsol) on a relaxed KMnAu crystal.

Unit cell a=4.8731 b=4.8731 c=4.8731 alpha=60.00 beta=60.00 gamma=60.00
Positions (direct):
K 0.0000 0.0000 0.0000
Mn 0.5000 0.5000 0.5000
Au 0.2500 0.2500 0.2500

Computed properties:
For the theoretical density, the calculation gives 5.906 Mg/m³. For the formation energy, the calculation gives 0.7225 eV per atom.

***

VASP calculation (GGA-PBEsol) on a relaxed K2MnAu crystal.

Unit cell a=5.5629 b=5.5629 c=5.5629 alpha=60.00 beta=60.00 gamma=60.00
Positions (direct):
K 0.2500 0.2500 0.2500
K 0.7500 0.7500 0.7500
Mn 0.0000 0.0000 0.0000
Au 0.5000 0.5000 0.5000

Computed properties:
For the theoretical density, the calculation gives 4.503 Mg/m³. For the formation energy, the calculation gives 0.7063 eV per atom.

***

VASP calculation (GGA-PBEsol) on a relaxed KMnAu4 crystal.

Unit cell a=5.5067 b=5.5067 c=5.5067 alpha=60.00 beta=60.00 gamma=60.00
Positions (direct):
K 0.0000 0.0000 0.0000
Mn 0.2500 0.2500 0.2500
Au 0.1263 0.6246 0.6246
Au 0.6246 0.1263 0.6246
Au 0.6246 0.6246 0.1263
Au 0.6246 0.6246 0.6246

Computed properties:
For the theoretical density, the calculation gives 12.402 Mg/m³. For the formation energy, the calculation gives 0.1308 eV per atom.

***

VASP calculation (GGA-PBEsol) on a relaxed KMnOs2Au crystal.

Unit cell a=4.4110 b=4.4110 c=5.0439 alpha=90.00 beta=90.00 gamma=90.00
Positions (direct):
K 0.0000 0.0000 0.0000
Mn 0.5000 0.5000 0.5000
Os 0.0000 0.5000 0.5000
Os 0.5000 0.0000 0.5000
Au 0.5000 0.5000 0.0000

Computed properties:
For the theoretical density, the calculation gives 11.362 Mg/m³. For the formation energy, the calculation gives 1.4787 eV per atom.

***

VASP calculation (GGA-PBEsol) on a relaxed KMnAu2S crystal.

Unit cell a=4.7872 b=4.7872 c=5.5160 alpha=90.00 beta=90.00 gamma=90.00
Positions (direct):
K 0.0000 0.0000 0.0000
Mn 0.5000 0.5000 0.0000
Au 0.0000 0.5000 0.5000
Au 0.5000 0.0000 0.5000
S 0.0000 0.0000 0.5000

Computed properties:
For the theoretical density, the calculation gives 6.831 Mg/m³. As for the uncorrected formation energy: 0.62 eV per atom.

***

VASP calculation (GGA-PBEsol) on a relaxed K2MoAu crystal.

Unit cell a=10.2246 b=10.2246 c=10.2246 alpha=164.05 beta=153.68 gamma=30.93
Positions (direct):
K 0.1462 0.1462 0.0000
K 0.8538 0.8538 0.0000
Mo 0.5000 0.0000 0.5000
Au 0.0000 0.5000 0.5000

Computed properties:
For the theoretical density, the calculation gives 4.734 Mg/m³. For the formation energy, the calculation gives 0.7583 eV per atom. For the relative energy among the computed polymorphs, the calculation gives 0 meV/atom.

***

VASP calculation (GGA-PBEsol) on a relaxed K2MoAu crystal.

Unit cell a=11.7082 b=11.7082 c=11.7082 alpha=14.40 beta=14.40 gamma=14.40
Positions (direct):
K 0.2479 0.2479 0.2479
K 0.7521 0.7521 0.7521
Mo 0.0000 0.0000 0.0000
Au 0.5000 0.5000 0.5000

Computed properties:
For the theoretical density, the calculation gives 7.129 Mg/m³. For the formation energy, the calculation gives 0.9719 eV per atom. For the relative energy among the computed polymorphs, the calculation gives 214 meV/atom.

***

VASP calculation (GGA-PBEsol) on a relaxed KMoAu4 crystal.

Unit cell a=5.5225 b=5.5225 c=5.5225 alpha=60.00 beta=60.00 gamma=60.00
Positions (direct):
K 0.0000 0.0000 0.0000
Mo 0.2500 0.2500 0.2500
Au 0.1258 0.6247 0.6247
Au 0.6247 0.1258 0.6247
Au 0.6247 0.6247 0.1258
Au 0.6247 0.6247 0.6247

Computed properties:
For the theoretical density, the calculation gives 12.868 Mg/m³. For the formation energy, the calculation gives 0.4732 eV per atom.

***

VASP calculation (GGA-PBEsol) on a relaxed KAuSN2 crystal.

Unit cell a=4.6377 b=4.6377 c=5.8999 alpha=90.00 beta=90.00 gamma=90.00
Positions (direct):
K 0.0000 0.0000 0.0000
Au 0.5000 0.5000 0.5000
S 0.0000 0.0000 0.5000
N 0.0000 0.5000 0.0000
N 0.5000 0.0000 0.0000

Computed properties:
For the theoretical density, the calculation gives 3.875 Mg/m³. As for the uncorrected formation energy: 2.52 eV per atom.

***

VASP calculation (GGA-PBEsol) on a relaxed K2NaAu crystal.

Unit cell a=5.7584 b=5.7584 c=5.7584 alpha=60.00 beta=60.00 gamma=60.00
Positions (direct):
K 0.2500 0.2500 0.2500
K 0.7500 0.7500 0.7500
Na 0.0000 0.0000 0.0000
Au 0.5000 0.5000 0.5000

Computed properties:
For the theoretical density, the calculation gives 3.667 Mg/m³. For the formation energy, the calculation gives -0.0193 eV per atom. For the relative energy among the computed polymorphs, the calculation gives 0 meV/atom.